Entry 1:
NaSnPbSe3 after structural relaxation, computed with PBE.

Computed properties:
SG	P2_1/m, No. 11
E_form (uncorrected)	-0.519	eV/atom

abc: 9.1675 3.9596 10.8630
angles: 90.00 95.81 90.00
Element x y z (fractional)
Na (0.1378, 0.2500, 0.0955)
Na (0.8622, 0.7500, 0.9045)
Sn (0.3517, 0.7500, 0.3996)
Sn (0.6483, 0.2500, 0.6004)
Pb (0.1610, 0.2500, 0.7213)
Pb (0.8390, 0.7500, 0.2787)
Se (0.1425, 0.2500, 0.3670)
Se (0.1865, 0.7500, 0.9110)
Se (0.4193, 0.7500, 0.6476)
Se (0.5807, 0.2500, 0.3524)
Se (0.8135, 0.2500, 0.0890)
Se (0.8575, 0.7500, 0.6330)


Entry 2:
Ba4RhBr2Cl after structural relaxation, computed with PBE.

Computed properties:
SG	P2/m, No. 10
E_form (uncorrected)	-1.347	eV/atom

abc: 8.2390 4.5032 8.4767
angles: 90.00 104.88 90.00
Element x y z (fractional)
Ba (0.2214, 0.0000, 0.2130)
Ba (0.2295, 0.5000, 0.7808)
Ba (0.7705, 0.5000, 0.2192)
Ba (0.7786, 0.0000, 0.7870)
Rh (0.0000, 0.5000, 0.0000)
Br (0.0000, 0.0000, 0.5000)
Br (0.5000, 0.5000, 0.5000)
Cl (0.5000, 0.0000, 0.0000)


Entry 3:
Co2TeC after structural relaxation, computed with PBE.

Computed properties:
excess energy over the best structure of this formula in the dataset	0.000	eV/atom
SG	I-42d, No. 122
E_form (uncorrected)	0.351	eV/atom

abc: 6.2395 6.2395 6.2395
angles: 135.98 135.98 64.01
Element x y z (fractional)
Co (0.0009, 0.6250, 0.8759)
Co (0.3750, 0.2509, 0.3759)
Co (0.7491, 0.1250, 0.1241)
Co (0.8750, 0.9991, 0.6241)
Te (0.2500, 0.7500, 0.5000)
Te (0.5000, 0.5000, 0.0000)
C (0.0000, 0.0000, 0.0000)
C (0.7500, 0.2500, 0.5000)


Entry 4:
ThSc2 after structural relaxation, computed with PBE.

Computed properties:
excess energy over the best structure of this formula in the dataset	0.211	eV/atom
energy of formation	0.7	eV per formula unit
SG	Fd-3m, No. 227

abc: 6.1720 6.1720 6.1720
angles: 60.00 60.00 60.00
Element x y z (fractional)
Th (0.1250, 0.1250, 0.1250)
Th (0.8750, 0.8750, 0.8750)
Sc (0.0000, 0.5000, 0.5000)
Sc (0.5000, 0.0000, 0.5000)
Sc (0.5000, 0.5000, 0.0000)
Sc (0.5000, 0.5000, 0.5000)


Entry 5:
Rb3CuBr5 after structural relaxation, computed with PBE.

Computed properties:
SG	I4/mcm, No. 140
E_form (uncorrected)	-1.247	eV/atom

abc: 10.0839 10.0839 10.0839
angles: 124.68 124.68 82.07
Element x y z (fractional)
Rb (0.1613, 0.6613, 0.8226)
Rb (0.2500, 0.2500, 0.0000)
Rb (0.3387, 0.1613, 0.5000)
Rb (0.6613, 0.8387, 0.5000)
Rb (0.7500, 0.7500, 0.0000)
Rb (0.8387, 0.3387, 0.1774)
Cu (0.2500, 0.7500, 0.5000)
Cu (0.7500, 0.2500, 0.5000)
Br (0.0000, 0.0000, 0.0000)
Br (0.0090, 0.7909, 0.5000)
Br (0.2091, 0.7091, 0.2181)
Br (0.2909, 0.5090, 0.5000)
Br (0.4910, 0.9910, 0.7819)
Br (0.5000, 0.5000, 0.0000)
Br (0.5090, 0.0090, 0.2181)
Br (0.7091, 0.4910, 0.5000)
Br (0.7909, 0.2909, 0.7819)
Br (0.9910, 0.2091, 0.5000)


Entry 6:
TaAu2Br after structural relaxation, computed with PBE.

Computed properties:
excess energy over the best structure of this formula in the dataset	0.073	eV/atom
SG	P4mm, No. 99
E_form (uncorrected)	0.075	eV/atom

abc: 3.0634 3.0634 8.9447
angles: 90.00 90.00 90.00
Element x y z (fractional)
Ta (0.0000, 0.0000, 0.0000)
Au (0.0000, 0.0000, 0.4314)
Au (0.5000, 0.5000, 0.2088)
Br (0.5000, 0.5000, 0.8062)


Entry 7:
CsMgCdBi2 after structural relaxation, computed with PBE.

Computed properties:
energy of formation	-1.4	eV per formula unit
SG	I-4m2, No. 119

abc: 8.1654 8.1654 8.1654
angles: 144.89 144.89 50.51
Element x y z (fractional)
Cs (0.0000, 0.0000, 0.0000)
Mg (0.2500, 0.7500, 0.5000)
Cd (0.7500, 0.2500, 0.5000)
Bi (0.3703, 0.3703, 0.0000)
Bi (0.6297, 0.6297, 0.0000)


Entry 8:
Nb6OsC4 after structural relaxation, computed with PBE.

Computed properties:
energy of formation	-4.9	eV per formula unit
SG	Cmcm, No. 63

abc: 5.6615 5.6615 16.8220
angles: 90.00 90.00 147.22
Element x y z (fractional)
Nb (0.0000, 0.0000, 0.0000)
Nb (0.0000, 0.0000, 0.5000)
Nb (0.1441, 0.8559, 0.7500)
Nb (0.2793, 0.7207, 0.0791)
Nb (0.2793, 0.7207, 0.4209)
Nb (0.4591, 0.5409, 0.6497)
Nb (0.4591, 0.5409, 0.8503)
Nb (0.5409, 0.4591, 0.1497)
Nb (0.5409, 0.4591, 0.3503)
Nb (0.7207, 0.2793, 0.5791)
Nb (0.7207, 0.2793, 0.9209)
Nb (0.8559, 0.1441, 0.2500)
Os (0.1689, 0.8311, 0.2500)
Os (0.8311, 0.1689, 0.7500)
C (0.0913, 0.9087, 0.6222)
C (0.0913, 0.9087, 0.8778)
C (0.3611, 0.6389, 0.5394)
C (0.3611, 0.6389, 0.9606)
C (0.6389, 0.3611, 0.0394)
C (0.6389, 0.3611, 0.4606)
C (0.9087, 0.0913, 0.1222)
C (0.9087, 0.0913, 0.3778)


Entry 9:
TbEr2Br after structural relaxation, computed with PBE.

Computed properties:
SG	R-3m, No. 166
E_form (uncorrected)	-0.503	eV/atom

abc: 10.3586 10.3586 10.3586
angles: 20.12 20.12 20.12
Element x y z (fractional)
Tb (0.0000, 0.0000, 0.0000)
Er (0.2428, 0.2428, 0.2428)
Er (0.7572, 0.7572, 0.7572)
Br (0.5000, 0.5000, 0.5000)


Entry 10:
PaNbAs2 after structural relaxation, computed with PBE.

Computed properties:
excess energy over the best structure of this formula in the dataset	0.096	eV/atom
energy of formation	-2.3	eV per formula unit
SG	P4/mmm, No. 123

abc: 3.3705 3.3705 6.7643
angles: 90.00 90.00 90.00
Element x y z (fractional)
Pa (0.0000, 0.0000, 0.0000)
Nb (0.0000, 0.0000, 0.5000)
As (0.5000, 0.5000, 0.2751)
As (0.5000, 0.5000, 0.7249)


Entry 11:
CaAl2P after structural relaxation, computed with PBE.

Computed properties:
energy of formation	-1.3	eV per formula unit
SG	I-42d, No. 122

abc: 6.1653 6.1653 6.1653
angles: 102.30 102.30 125.03
Element x y z (fractional)
Ca (0.0000, 0.0000, 0.0000)
Ca (0.7500, 0.2500, 0.5000)
Al (0.1879, 0.6250, 0.0629)
Al (0.3750, 0.4379, 0.5629)
Al (0.5621, 0.1250, 0.9371)
Al (0.8750, 0.8121, 0.4371)
P (0.2500, 0.7500, 0.5000)
P (0.5000, 0.5000, 0.0000)


Entry 12:
Li3In2Au5 after structural relaxation, computed with PBE.

Computed properties:
energy of formation	-2.9	eV per formula unit
SG	Ibam, No. 72

abc: 8.9985 8.9985 8.9985
angles: 106.69 84.49 143.99
Element x y z (fractional)
Li (0.1359, 0.6215, 0.7573)
Li (0.2500, 0.2500, 0.0000)
Li (0.3641, 0.1215, 0.4856)
Li (0.6359, 0.8785, 0.5144)
Li (0.7500, 0.7500, 0.0000)
Li (0.8641, 0.3785, 0.2427)
In (0.2089, 0.8821, 0.0910)
In (0.2911, 0.3821, 0.6733)
In (0.7089, 0.6179, 0.3267)
In (0.7911, 0.1179, 0.9090)
Au (0.1713, 0.1450, 0.3163)
Au (0.2500, 0.0124, 0.7624)
Au (0.2500, 0.4876, 0.2376)
Au (0.2500, 0.7500, 0.5000)
Au (0.3287, 0.6450, 0.9737)
Au (0.6713, 0.3550, 0.0263)
Au (0.7500, 0.2500, 0.5000)
Au (0.7500, 0.5124, 0.7624)
Au (0.7500, 0.9876, 0.2376)
Au (0.8287, 0.8550, 0.6837)


Here are the calculated D(E_F) numbers, same order: 4.40; 4.34; 6.92; 17.76; 16.54; 1.57; 2.63; 10.36; 3.97; 3.43; 2.79; 6.83 (states/eV/cell).
Here are the calculated density numbers, same order: 4.96; 4.63; 7.39; 6.43; 3.58; 12.95; 6.37; 9.05; 8.27; 10.24; 2.44; 10.30 (g/cm3).